# BeTlIr2 PBE-GGA relaxed
data_BeTlIr2
_symmetry_space_group_name_H-M 'P 1'
_symmetry_Int_Tables_number 1
_cell_length_a 4.4472
_cell_length_b 4.4472
_cell_length_c 4.4472
_cell_angle_alpha 60.00
_cell_angle_beta 60.00
_cell_angle_gamma 60.00
loop_
_symmetry_equiv_pos_as_xyz
'x,y,z'
loop_
_atom_site_label
_atom_site_type_symbol
_atom_site_fract_x
_atom_site_fract_y
_atom_site_fract_z
_atom_site_occupancy
Tl1 Tl 0.5000 0.5000 0.5000 1
Be1 Be 0.2500 0.2500 0.2500 1
Ir1 Ir 0.0000 0.0000 0.0000 1
Ir2 Ir 0.7500 0.7500 0.7500 1
# Energy (eV for the cell shown): -21.5
# Symmetry: F-43m
# ρ (g/cm3): 16.0
# Crystal system: cubic